Record 1
Density functional theory data (PBE-GGA) for an optimized crystal structure of CaTeS2Cl.

Geometry as extended XYZ:
```
5
Lattice="5.2380 0.0000 0.0000 0.0000 5.2380 0.0000 0.0000 0.0000 5.0895" Properties=species:S:1:pos:R:3 pbc="T T T"
Ca 0.0000 0.0000 0.0000
Te 2.6190 2.6190 2.5448
S 0.0000 2.6190 2.5448
S 2.6190 0.0000 2.5448
Cl 2.6190 2.6190 0.0000
```

Energy above the most stable polymorph in this dataset: 0.0 meV/atom
E_form (uncorrected): -0.518 eV per atom
Total magnetization: 0.0 Bohr magnetons per cell
Space-group type: P4/mmm, No. 123
Calculated total energy: -3.5674 eV/atom

Record 2
Density functional theory data (PBE-GGA) for an optimized crystal structure of NdGdCdTc.

Geometry as extended XYZ:
```
16
Lattice="7.2757 0.0000 0.0000 0.0000 7.2757 0.0000 0.0000 0.0000 7.2757" Properties=species:S:1:pos:R:3 pbc="T T T"
Nd 0.0000 0.0000 0.0000
Nd 0.0000 3.6378 3.6378
Nd 3.6378 0.0000 3.6378
Nd 3.6378 3.6378 0.0000
Gd 0.0000 0.0000 3.6378
Gd 0.0000 3.6378 0.0000
Gd 3.6378 0.0000 0.0000
Gd 3.6378 3.6378 3.6378
Cd 1.8189 1.8189 1.8189
Cd 1.8189 5.4567 5.4567
Cd 5.4567 1.8189 5.4567
Cd 5.4567 5.4567 1.8189
Tc 1.8189 1.8189 5.4567
Tc 1.8189 5.4567 1.8189
Tc 5.4567 1.8189 1.8189
Tc 5.4567 5.4567 5.4567
```

E_form: -0.014 eV per atom
Total magnetization: 28.1 Bohr magnetons per cell
Space-group type: F-43m, No. 216
Calculated total energy: -7.5465 eV/atom

Record 3
Density functional theory data (PBE-GGA) for an optimized crystal structure of KSm2Cd.

Geometry as extended XYZ:
```
12
Lattice="3.6488 0.0000 0.0000 -1.8244 3.1599 0.0000 0.0000 0.0000 38.3660" Properties=species:S:1:pos:R:3 pbc="T T T"
K 0.0000 0.0000 0.0000
K 0.0000 2.1066 25.5773
K 1.8244 1.0533 12.7886
Sm 0.0000 0.0000 3.9080
Sm 0.0000 0.0000 34.4580
Sm 0.0000 2.1066 21.6693
Sm 0.0000 2.1066 29.4853
Sm 1.8244 1.0533 8.8806
Sm 1.8244 1.0533 16.6966
Cd 0.0000 0.0000 19.1830
Cd 0.0000 2.1066 6.3943
Cd 1.8244 1.0533 31.9716
```

E_form: 0.167 eV per atom
Total magnetization: 0.0 Bohr magnetons per cell
Space-group type: R-3m, No. 166
Calculated total energy: -2.6961 eV/atom

Record 4
Density functional theory data (PBE-GGA) for an optimized crystal structure of Dy8Hg2Ru3.

Geometry as extended XYZ:
```
13
Lattice="4.8908 -7.2276 0.0000 4.8908 7.2276 0.0000 0.0000 0.0000 4.8956" Properties=species:S:1:pos:R:3 pbc="T T T"
Dy 4.8908 5.6144 0.0000
Dy 2.4717 1.6171 2.4478
Dy 2.4717 -1.6171 2.4478
Dy 4.8908 1.6474 0.0000
Dy 4.8908 -1.6474 0.0000
Dy 7.3099 1.6171 2.4478
Dy 7.3099 -1.6171 2.4478
Dy 4.8908 -5.6144 0.0000
Hg 4.8908 3.6793 2.4478
Hg 4.8908 -3.6793 2.4478
Ru 2.4533 0.0000 0.0000
Ru 4.8908 0.0000 2.4478
Ru 7.3283 0.0000 0.0000
```

E_form: -0.301 eV per atom
Total magnetization: 0.0 Bohr magnetons per cell
Space-group type: Cmmm, No. 65
Calculated total energy: -5.3205 eV/atom

Record 5
Density functional theory data (PBE-GGA) for an optimized crystal structure of La14HoHg.

Geometry as extended XYZ:
```
16
Lattice="10.4553 0.0000 0.0000 0.0000 5.1785 5.1763 0.0000 -5.1785 5.1763" Properties=species:S:1:pos:R:3 pbc="T T T"
La 0.0000 0.0000 0.0000
La 0.0000 -2.6777 7.6539
La 0.0000 0.0000 5.0543
La 0.0000 2.6777 7.6539
La 2.5303 0.0000 7.6572
La 2.6767 -2.5533 5.0794
La 2.6767 2.5533 5.0794
La 2.8174 0.0000 2.5630
La 5.2276 -2.4233 7.5858
La 5.2276 2.4233 7.5858
La 7.6378 0.0000 2.5630
La 7.7785 -2.5533 5.0794
La 7.7785 2.5533 5.0794
La 7.9250 0.0000 7.6572
Ho 5.2276 0.0000 10.2298
Hg 5.2276 0.0000 5.0730
```

E_form: -0.045 eV per atom
Total magnetization: 0.0 Bohr magnetons per cell
Space-group type: Amm2, No. 38
Calculated total energy: -4.6614 eV/atom

Record 6
Density functional theory data (PBE-GGA) for an optimized crystal structure of Sm3PdAu4.

Geometry as extended XYZ:
```
16
Lattice="3.9600 0.0000 0.0000 0.0000 4.0027 0.0000 0.0000 0.0000 23.4361" Properties=species:S:1:pos:R:3 pbc="T T T"
Sm 0.0000 0.0000 0.0000
Sm 0.0000 2.0014 8.1339
Sm 0.0000 2.0014 15.3022
Sm 1.9800 0.0000 3.5842
Sm 1.9800 0.0000 19.8520
Sm 1.9800 2.0014 11.7181
Pd 0.0000 0.0000 11.7181
Pd 1.9800 2.0014 0.0000
Au 0.0000 2.0014 2.2579
Au 0.0000 2.0014 5.1289
Au 0.0000 2.0014 18.3072
Au 0.0000 2.0014 21.1782
Au 1.9800 0.0000 6.5891
Au 1.9800 0.0000 9.4602
Au 1.9800 0.0000 13.9760
Au 1.9800 0.0000 16.8470
```

E_form: -0.790 eV per atom
Total magnetization: 0.0 Bohr magnetons per cell
Space-group type: Immm, No. 71
Calculated total energy: -4.8471 eV/atom

Record 7
Density functional theory data (PBE-GGA) for an optimized crystal structure of Ti2CoAgH.

Geometry as extended XYZ:
```
5
Lattice="4.0934 0.0000 0.0000 0.0000 4.0934 0.0000 0.0000 0.0000 3.7156" Properties=species:S:1:pos:R:3 pbc="T T T"
Ti 0.0000 2.0467 0.0000
Ti 2.0467 0.0000 0.0000
Co 0.0000 0.0000 1.8578
Ag 2.0467 2.0467 1.8578
H 0.0000 0.0000 0.0000
```

Total magnetization: 1.2 Bohr magnetons per cell
Space-group type: P4/mmm, No. 123
Calculated total energy: -5.9142 eV/atom

Record 8
Density functional theory data (PBE-GGA) for an optimized crystal structure of Tl8BiAs2.

Geometry as extended XYZ:
```
11
Lattice="-2.5744 4.0028 8.1898 2.5744 -4.0028 8.1898 2.5744 4.0028 -8.1898" Properties=species:S:1:pos:R:3 pbc="T T T"
Tl 2.5744 2.2128 -2.6589
Tl 0.0000 0.0000 2.5939
Tl 0.0000 2.3793 0.0000
Tl 2.5744 2.2128 2.6589
Tl 0.0000 1.7900 5.5309
Tl 0.0000 5.6264 0.0000
Tl 0.0000 0.0000 13.7858
Tl 0.0000 1.7900 10.8488
Bi 2.5744 0.0000 0.0000
As 2.5744 0.0000 5.0767
As 0.0000 4.0028 3.1131
```

E_form: 0.036 eV per atom
Total magnetization: 0.0 Bohr magnetons per cell
Space-group type: Immm, No. 71
Calculated total energy: -2.8832 eV/atom

Record 9
Density functional theory data (PBE-GGA) for an optimized crystal structure of TaWAu2.

Geometry as extended XYZ:
```
16
Lattice="7.4478 0.0000 0.0000 0.0000 7.4478 0.0000 0.0000 0.0000 5.4109" Properties=species:S:1:pos:R:3 pbc="T T T"
Ta 0.0000 0.0000 0.0000
Ta 0.0000 3.7239 1.3527
Ta 3.7239 0.0000 4.0582
Ta 3.7239 3.7239 2.7054
W 0.0000 0.0000 2.7054
W 0.0000 3.7239 4.0582
W 3.7239 0.0000 1.3527
W 3.7239 3.7239 0.0000
Au 1.8212 1.8620 3.3818
Au 1.8620 5.5452 4.7345
Au 1.8620 5.6266 2.0291
Au 1.9027 1.8620 0.6764
Au 5.5452 5.5859 0.6764
Au 5.5859 1.8212 2.0291
Au 5.5859 1.9027 4.7345
Au 5.6266 5.5859 3.3818
```

Energy above the most stable polymorph in this dataset: 659.1 meV/atom
E_form: 0.731 eV per atom
Total magnetization: 0.0 Bohr magnetons per cell
Space-group type: I-42d, No. 122
Calculated total energy: -7.1095 eV/atom

Record 10
Density functional theory data (PBE-GGA) for an optimized crystal structure of MnZnMo.

Geometry as extended XYZ:
```
12
Lattice="3.6621 0.0000 0.0000 0.0000 3.8356 0.0000 0.0000 0.0000 11.6723" Properties=species:S:1:pos:R:3 pbc="T T T"
Mn 0.0000 0.9589 0.6866
Mn 0.0000 2.8767 10.9857
Mn 1.8310 0.9589 10.9857
Mn 1.8310 2.8767 0.6866
Zn 0.0000 0.9589 4.8248
Zn 0.0000 2.8767 6.8475
Zn 1.8310 0.9589 6.8475
Zn 1.8310 2.8767 4.8248
Mo 0.0000 0.9589 8.9573
Mo 0.0000 2.8767 2.7150
Mo 1.8310 0.9589 2.7150
Mo 1.8310 2.8767 8.9573
```

Energy above the most stable polymorph in this dataset: 0.0 meV/atom
E_form: 0.101 eV per atom
Total magnetization: 0.0 Bohr magnetons per cell
Space-group type: Cmme, No. 67
Calculated total energy: -6.9910 eV/atom

Record 11
Density functional theory data (PBE-GGA) for an optimized crystal structure of NaMgBi2.

Geometry as extended XYZ:
```
12
Lattice="4.8951 0.0000 0.0000 -2.4475 4.2393 0.0000 0.0000 0.0000 17.9818" Properties=species:S:1:pos:R:3 pbc="T T T"
Na 0.0000 0.0000 0.0000
Na 0.0000 2.8262 11.9879
Na 2.4475 1.4131 5.9939
Mg 0.0000 0.0000 3.2989
Mg 0.0000 2.8262 15.2868
Mg 2.4475 1.4131 9.2928
Bi 0.0000 0.0000 10.5807
Bi 0.0000 0.0000 13.7352
Bi 0.0000 2.8262 4.5868
Bi 0.0000 2.8262 7.7413
Bi 2.4475 1.4131 1.7474
Bi 2.4475 1.4131 16.5746
```

Energy above the most stable polymorph in this dataset: 50.1 meV/atom
E_form: -0.153 eV per atom
Total magnetization: 0.0 Bohr magnetons per cell
Space-group type: R3m, No. 160
Calculated total energy: -2.8216 eV/atom

Record 12
Density functional theory data (PBE-GGA) for an optimized crystal structure of BiHSe2O6.

Geometry as extended XYZ:
```
20
Lattice="2.8910 -3.5775 0.0000 2.8910 3.5775 0.0000 -2.6035 0.0000 17.3426" Properties=species:S:1:pos:R:3 pbc="T T T"
Bi 1.5893 3.0321 8.6713
Bi 2.8910 -3.0321 0.0000
H 2.7431 1.9081 3.9943
H 1.4413 -1.9081 12.6656
Se 1.6167 0.1571 6.7702
Se 0.3149 -0.1571 15.4416
Se 2.9098 0.4383 2.1766
Se 1.6080 -0.4383 10.8479
O -1.0681 0.8531 15.5926
O 1.5922 1.3668 1.5940
O 0.2336 -0.8531 6.9212
O 1.6344 0.8478 8.4271
O 2.8861 0.9398 3.9292
O 0.2905 -1.3668 10.2653
O 1.6054 0.9596 15.6808
O 4.2385 1.3704 1.6164
O 0.3326 -0.8478 17.0984
O 1.5843 -0.9398 12.6006
O 2.9071 -0.9596 7.0095
O 2.9367 -1.3704 10.2877
```

Total magnetization: 0.0 Bohr magnetons per cell
Space-group type: Cc, No. 9
Calculated total energy: -5.3337 eV/atom

Record 13
Density functional theory data (PBE-GGA) for an optimized crystal structure of HgP.

Geometry as extended XYZ:
```
2
Lattice="2.6798 0.0000 0.0000 0.0000 2.6798 0.0000 0.0000 0.0000 6.4248" Properties=species:S:1:pos:R:3 pbc="T T T"
Hg 0.0000 0.0000 0.0000
P 1.3399 1.3399 3.2124
```

Energy above the most stable polymorph in this dataset: 626.4 meV/atom
E_form: 0.656 eV per atom
Total magnetization: 0.0 Bohr magnetons per cell
Space-group type: P4/mmm, No. 123
Calculated total energy: -2.2003 eV/atom

Record 14
Density functional theory data (PBE-GGA) for an optimized crystal structure of TaTi2Ga.

Geometry as extended XYZ:
```
4
Lattice="4.2014 0.0000 0.0000 0.0000 4.2014 0.0000 0.0000 0.0000 3.7551" Properties=species:S:1:pos:R:3 pbc="T T T"
Ta 0.0000 0.0000 0.0000
Ti 0.0000 2.1007 1.8775
Ti 2.1007 0.0000 1.8775
Ga 2.1007 2.1007 0.0000
```

Energy above the most stable polymorph in this dataset: 27.1 meV/atom
E_form: -0.233 eV per atom
Total magnetization: 0.0 Bohr magnetons per cell
Space-group type: P4/mmm, No. 123
Calculated total energy: -7.9001 eV/atom

Record 15
Density functional theory data (PBE-GGA) for an optimized crystal structure of Ho2Tl2H.

Geometry as extended XYZ:
```
10
Lattice="1.8478 -6.0366 0.0000 1.8478 6.0366 0.0000 0.0000 0.0000 10.3807" Properties=species:S:1:pos:R:3 pbc="T T T"
Ho 1.8478 5.3987 5.1904
Ho 1.8478 1.9032 2.7836
Ho 1.8478 -1.9032 7.9739
Ho 1.8478 -5.3987 0.0000
Tl 1.8478 3.3872 0.0506
Tl 1.8478 1.1975 7.4567
Tl 1.8478 -1.1975 2.2663
Tl 1.8478 -3.3872 5.2409
H 1.8478 4.7647 7.1958
H 1.8478 -4.7647 2.0054
```

Total magnetization: 0.0 Bohr magnetons per cell
Space-group type: Cmc2_1, No. 36
Calculated total energy: -3.7841 eV/atom

Record 16
Density functional theory data (PBE-GGA) for an optimized crystal structure of Eu2DySc.

Geometry as extended XYZ:
```
4
Lattice="3.5732 0.0000 0.0000 0.0000 3.5732 0.0000 0.0000 0.0000 10.3530" Properties=species:S:1:pos:R:3 pbc="T T T"
Eu 0.0000 0.0000 2.4733
Eu 0.0000 0.0000 7.8797
Dy 1.7866 1.7866 5.1765
Sc 1.7866 1.7866 0.0000
```

Energy above the most stable polymorph in this dataset: 0.0 meV/atom
E_form: 0.171 eV per atom
Total magnetization: 15.4 Bohr magnetons per cell
Space-group type: P4/mmm, No. 123
Calculated total energy: -7.6996 eV/atom

Record 17
Density functional theory data (PBE-GGA) for an optimized crystal structure of CePdSe2.

Geometry as extended XYZ:
```
12
Lattice="4.2536 0.0000 0.0000 -2.1268 3.6837 0.0000 0.0000 0.0000 21.1418" Properties=species:S:1:pos:R:3 pbc="T T T"
Ce 0.0000 0.0000 0.0000
Ce 0.0000 2.4558 14.0945
Ce 2.1268 1.2279 7.0473
Pd 0.0000 0.0000 15.8614
Pd 0.0000 2.4558 8.8142
Pd 2.1268 1.2279 1.7669
Se 0.0000 0.0000 5.5156
Se 0.0000 0.0000 9.1823
Se 0.0000 2.4558 2.1350
Se 0.0000 2.4558 19.6102
Se 2.1268 1.2279 12.5629
Se 2.1268 1.2279 16.2296
```

Energy above the most stable polymorph in this dataset: 172.7 meV/atom
E_form (uncorrected): -1.094 eV per atom
Total magnetization: 0.8 Bohr magnetons per cell
Space-group type: R3m, No. 160
Calculated total energy: -5.6182 eV/atom

Record 18
Density functional theory data (PBE-GGA) for an optimized crystal structure of Ga3AgAu3.

Geometry as extended XYZ:
```
14
Lattice="7.1461 0.0000 0.0000 0.0000 7.1461 0.0000 0.0000 0.0000 7.1461" Properties=species:S:1:pos:R:3 pbc="T T T"
Ga 0.0000 1.7865 3.5730
Ga 0.0000 5.3596 3.5730
Ga 1.7865 3.5730 0.0000
Ga 3.5730 0.0000 1.7865
Ga 3.5730 0.0000 5.3596
Ga 5.3596 3.5730 0.0000
Ag 0.0000 0.0000 0.0000
Ag 3.5730 3.5730 3.5730
Au 0.0000 3.5730 1.7865
Au 0.0000 3.5730 5.3596
Au 1.7865 0.0000 3.5730
Au 3.5730 1.7865 0.0000
Au 3.5730 5.3596 0.0000
Au 5.3596 0.0000 3.5730
```

Energy above the most stable polymorph in this dataset: 357.6 meV/atom
E_form: 0.197 eV per atom
Total magnetization: 0.0 Bohr magnetons per cell
Space-group type: Pm-3n, No. 223
Calculated total energy: -2.9119 eV/atom

Record 19
Density functional theory data (PBE-GGA) for an optimized crystal structure of KZr2Tl.

Geometry as extended XYZ:
```
8
Lattice="10.3803 0.0000 0.0000 0.0000 3.1372 0.0000 -0.6954 0.0000 7.6337" Properties=species:S:1:pos:R:3 pbc="T T T"
K 0.0000 0.0000 0.0000
K 5.1901 1.5686 0.0000
Zr -0.2514 1.5686 3.6277
Zr 2.6229 1.5686 2.7746
Zr 4.9387 0.0000 3.6277
Zr 7.8130 0.0000 2.7746
Tl 2.0405 0.0000 5.4324
Tl 7.2306 1.5686 5.4324
```

Energy above the most stable polymorph in this dataset: 284.4 meV/atom
E_form: 0.446 eV per atom
Total magnetization: 0.0 Bohr magnetons per cell
Space-group type: Cm, No. 8
Calculated total energy: -4.6945 eV/atom

Record 20
Density functional theory data (PBE-GGA) for an optimized crystal structure of Na6Cd12Ag.

Geometry as extended XYZ:
```
19
Lattice="5.7363 3.3119 4.1303 -5.7363 3.3119 4.1303 0.0000 -6.6237 4.1303" Properties=species:S:1:pos:R:3 pbc="T T T"
Na -3.1104 0.6925 5.5997
Na -2.1549 -2.3474 6.7910
Na 0.9555 -3.0399 5.5997
Na -0.9555 3.0399 6.7910
Na 2.1549 2.3474 5.5997
Na 3.1104 -0.6925 6.7910
Cd -5.3472 -1.4310 7.0522
Cd -1.4343 -5.3463 5.3386
Cd -1.3483 -1.2492 3.8778
Cd -3.9129 3.9153 5.3386
Cd -0.4077 1.7923 3.8778
Cd 1.7560 -0.5431 3.8778
Cd -1.7560 0.5431 8.5130
Cd 0.4077 -1.7923 8.5130
Cd 3.9129 -3.9153 7.0522
Cd 1.3483 1.2492 8.5130
Cd 1.4343 5.3463 7.0522
Cd 5.3472 1.4310 5.3386
Ag 0.0000 0.0000 6.1954
```

E_form: -0.055 eV per atom
Total magnetization: 0.0 Bohr magnetons per cell
Space-group type: R-3, No. 148
Calculated total energy: -1.1996 eV/atom